# 1
Material: Mn3Os
Method: DFT, PBE
State: optimized geometry

Cell lengths 2.622, 2.622, 7.155 Å; angles 90.00, 90.00, 90.00 degrees
Space group P4/mmm (No. 123)
One atom of each set of equivalent atoms:
Mn1 0.000 0.000 0.000
Mn2 0.500 0.500 0.243
Os1 0.000 0.000 0.500

## Properties
Theoretical density   11986 kg/m³
Magnetic moment   0.22 μB per atom
DFT total energy   -0.7068 Ry/atom
Volume   12.30 A^3/atom
DFT formation energy   0.068 eV per atom


# 2
Material: Mn3Os
Method: DFT, PBE
State: optimized geometry

Cell lengths 2.601, 8.246, 4.448 Å; angles 90.00, 90.00, 90.00 degrees
Space group Imm2 (No. 44)
One atom of each set of equivalent atoms:
Mn1 0.000 0.000 0.000
Mn2 0.000 0.254 0.662
Os1 0.000 0.500 0.002

## Properties
Theoretical density   12360 kg/m³
Magnetic moment   0.01 μB per atom
DFT total energy   -0.7098 Ry/atom
Volume   11.93 A^3/atom
DFT formation energy   0.027 eV per atom


# 3
Material: MnOs
Method: DFT, PBE
State: optimized geometry

Cell lengths 3.7742, 3.7742, 4.6299 Å; angles 90.00, 90.00, 120.00 degrees
Space group P6_3/mmc (No. 194)
One atom of each set of equivalent atoms:
Mn1 0.0000 0.0000 0.0000
Os1 0.3333 0.6667 0.2500

## Properties
Theoretical density   14256 kg/m³
Magnetic moment   0.18 μB per atom
DFT total energy   -0.6916 Ry/atom
Volume   14.28 A^3/atom
DFT formation energy   0.790 eV per atom


# 4
Material: Mn3Os
Method: DFT, PBE
State: optimized geometry

Cell lengths 2.6096, 2.6096, 8.0609 Å; angles 90.00, 90.00, 120.00 degrees
Space group P-6m2 (No. 187)
One atom of each set of equivalent atoms:
Mn1 0.0000 0.0000 0.0000
Mn2 0.6667 0.3333 0.2399
Os1 0.0000 0.0000 0.5000

## Properties
Theoretical density   12402 kg/m³
Magnetic moment   0.00 μB per atom
DFT total energy   -0.7046 Ry/atom
Volume   11.88 A^3/atom
DFT formation energy   0.098 eV per atom


# 5
Material: Mn3Os
Method: DFT, PBE
State: optimized geometry

Cell lengths 4.494, 8.265, 5.143 Å; angles 90.00, 90.00, 90.00 degrees
Space group Pnma (No. 62)
One atom of each set of equivalent atoms:
Mn1 0.082 0.250 0.128
Mn2 0.248 0.502 0.872
Os1 0.080 0.250 0.617

## Properties
Theoretical density   12345 kg/m³
Magnetic moment   0.04 μB per atom
DFT total energy   -0.7091 Ry/atom
Volume   11.94 A^3/atom
DFT formation energy   0.037 eV per atom


# 6
Material: Mn2Os
Method: DFT, PBE
State: optimized geometry

Cell lengths 3.660, 11.169, 3.703 Å; angles 90.00, 90.00, 90.00 degrees
Space group Cmcm (No. 63)
One atom of each set of equivalent atoms:
Mn1 0.000 0.089 0.250
Mn2 0.000 0.248 0.750
Os1 0.000 0.409 0.250

## Properties
Theoretical density   13170 kg/m³
Magnetic moment   0.28 μB per atom
DFT total energy   -0.7218 Ry/atom
Volume   12.61 A^3/atom
DFT formation energy   0.036 eV per atom


Which value of theoretical density does entry 1 give?
11986 kg/m³


What did the third record say?
Material: MnOs
Method: DFT, PBE
State: optimized geometry

Cell lengths 3.7742, 3.7742, 4.6299 Å; angles 90.00, 90.00, 120.00 degrees
Space group P6_3/mmc (No. 194)
One atom of each set of equivalent atoms:
Mn1 0.0000 0.0000 0.0000
Os1 0.3333 0.6667 0.2500

## Properties
Theoretical density   14256 kg/m³
Magnetic moment   0.18 μB per atom
DFT total energy   -0.6916 Ry/atom
Volume   14.28 A^3/atom
DFT formation energy   0.790 eV per atom


Which value of magnetic moment does entry 4 give?
0.00 μB per atom


The highest DFT total energy belongs to which entry?
MnOs